This record from the Alexandria database describes crystalline Li2CePuS4 at its relaxed geometry. The functional is PBE.

Theoretical density: 5.12 g cm⁻³
N(E_F): 1.740 states/eV per atom
Formation energy (no corrections): -1.6457 eV per atom
M_tot: 6.00 μB per formula unit
Uncorrected energy: -6.721 eV per atom

Cell lengths 6.5566, 4.0099, 6.9362 Å; angles 90.00, 110.66, 90.00 degrees
Space group P2/m (No. 10)
Unique sites:
Li: 0.0000 0.0000 0.0000 [1 per cell]
Li: 0.0000 0.5000 0.5000 [1 per cell]
Ce: 0.5000 0.0000 0.5000 [1 per cell]
Pu: 0.5000 0.5000 0.0000 [1 per cell]
S: 0.2446 0.5000 0.2469 [2 per cell]
S: 0.2490 0.0000 0.7520 [2 per cell]

---

This record from the Alexandria database describes crystalline TePdPbI2 at its relaxed geometry. The functional is PBE.

Theoretical density: 5.14 g cm⁻³
N(E_F): 1.941 states/eV per atom
Formation energy (no corrections): 0.5724 eV per atom
M_tot: 1.62 μB per formula unit
Polymorph energy (0 for the lowest one): 635 meV/atom
Uncorrected energy: -2.456 eV per atom

Cell lengths 6.1155, 6.1155, 6.0043 Å; angles 90.00, 90.00, 90.00 degrees
Space group P4/mmm (No. 123)
Unique sites:
Te: 0.0000 0.0000 0.0000 [1 per cell]
Pd: 0.5000 0.5000 0.0000 [1 per cell]
Pb: 0.0000 0.0000 0.5000 [1 per cell]
I: 0.0000 0.5000 0.5000 [2 per cell]